# 1
H2IrRh | meta-GGA SCAN | single point on PBEsol structure

The structure belongs to space group Fm-3m (No. 225); the cell edges are 5.1929, 5.1929 and 5.1929 Å and the angles 90.00°, 90.00° and 90.00°. Symmetry generates all atoms from H at (0.2500, 0.2500, 0.2500), Ir at (0.0000, 0.0000, 0.0000) and Rh at (0.0000, 0.0000, 0.5000).

As for the total magnetization: 0.000 μB/atom.


# 2
K2ReSb | meta-GGA SCAN | single point on PBEsol structure

The structure belongs to space group C2/m (No. 12); the cell edges are 5.6437, 11.3598 and 2.9386 Å and the angles 90.00°, 92.76° and 90.00°. Symmetry generates all atoms from K at (0.2500, 0.2500, 0.0000), Re at (0.0000, 0.0000, 0.5000) and Sb at (0.0000, 0.5000, 0.5000).

As for the total magnetization: 0.000 μB/atom. For the formation energy (no corrections), the calculation gives 0.950 eV per atom.


# 3
Ti3AsPb | meta-GGA SCAN | single point on PBEsol structure

The structure belongs to space group Pm-3m (No. 221); the cell edges are 5.0742, 5.0742 and 5.0742 Å and the angles 90.00°, 90.00° and 90.00°. Symmetry generates all atoms from Ti at (0.0000, 0.0000, 0.5000), As at (0.5000, 0.5000, 0.5000) and Pb at (0.0000, 0.0000, 0.0000).

As for the total magnetization: 1.005 μB/atom. For the formation energy, the calculation gives 0.97 eV/atom.


# 4
CaLa3 | meta-GGA SCAN | single point on PBEsol structure

The structure belongs to space group C2/m (No. 12); the cell edges are 12.2123, 3.6447 and 6.4380 Å and the angles 90.00°, 99.59° and 90.00°. Symmetry generates all atoms from Ca at (0.0000, 0.0000, 0.0000), La at (0.0000, 0.5000, 0.5000) and La at (0.2458, 0.0000, 0.7356).

As for the total magnetization: 0.002 μB/atom. For the formation energy, the calculation gives 0.04 eV/atom.


# 5
Tl2PbAu | meta-GGA SCAN | single point on PBEsol structure

The structure belongs to space group P4mm (No. 99); the cell edges are 3.5357, 3.5357 and 8.1499 Å and the angles 90.00°, 90.00° and 90.00°. Symmetry generates all atoms from Tl at (0.0000, 0.0000, 0.0000), Tl at (0.5000, 0.5000, 0.2777), Pb at (0.5000, 0.5000, 0.7000) and Au at (0.0000, 0.0000, 0.4928).

As for the total magnetization: 0.000 μB/atom. For the formation energy, the calculation gives 0.00 eV/atom.


# 6
Li2MnIrI | meta-GGA SCAN | single point on PBEsol structure

The structure belongs to space group P4/mmm (No. 123); the cell edges are 4.5643, 4.5643 and 5.1111 Å and the angles 90.00°, 90.00° and 90.00°. Symmetry generates all atoms from Li at (0.0000, 0.5000, 0.0000), Mn at (0.0000, 0.0000, 0.5000), Ir at (0.5000, 0.5000, 0.5000) and I at (0.0000, 0.0000, 0.0000).

As for the total magnetization: 1.034 μB/atom. For the formation energy (no corrections), the calculation gives 0.803 eV per atom.


# 7
ZnFe2 | meta-GGA SCAN | single point on PBEsol structure

The structure belongs to space group Cmcm (No. 63); the cell edges are 2.4494, 13.5017 and 4.1717 Å and the angles 90.00°, 90.00° and 90.00°. Symmetry generates all atoms from Zn at (0.0000, 0.1148, 0.2500), Fe at (0.0000, 0.2176, 0.7500) and Fe at (0.0000, 0.4492, 0.2500).

As for the total magnetization: 1.651 μB/atom. For the formation energy, the calculation gives 0.03 eV/atom.


# 8
Ca4MnZn | meta-GGA SCAN | single point on PBEsol structure

The structure belongs to space group F-43m (No. 216); the cell edges are 9.1560, 9.1560 and 9.1560 Å and the angles 90.00°, 90.00° and 90.00°. Symmetry generates all atoms from Ca at (0.1248, 0.1248, 0.1248), Mn at (0.2500, 0.2500, 0.7500) and Zn at (0.0000, 0.0000, 0.5000).

As for the total magnetization: 0.757 μB/atom. For the formation energy, the calculation gives 0.62 eV/atom.


# 9
BeCu2PI | meta-GGA SCAN | single point on PBEsol structure

The structure belongs to space group P4/mmm (No. 123); the cell edges are 4.2004, 4.2004 and 6.1734 Å and the angles 90.00°, 90.00° and 90.00°. Symmetry generates all atoms from Be at (0.0000, 0.0000, 0.0000), Cu at (0.0000, 0.5000, 0.5000), P at (0.5000, 0.5000, 0.5000) and I at (0.5000, 0.5000, 0.0000).

As for the total magnetization: 0.000 μB/atom. For the formation energy (no corrections), the calculation gives 0.734 eV per atom.


# 10
Mg2SnH2 | meta-GGA SCAN | single point on PBEsol structure

The structure belongs to space group I4/mmm (No. 139); the cell edges are 3.3222, 3.3222 and 12.7486 Å and the angles 90.00°, 90.00° and 90.00°. Symmetry generates all atoms from Mg at (0.0000, 0.0000, 0.1631), Sn at (0.0000, 0.0000, 0.5000) and H at (0.0000, 0.5000, 0.2500).

As for the total magnetization: 0.000 μB/atom.


# 11
FeGe3Sb | meta-GGA SCAN | single point on PBEsol structure

The structure belongs to space group Pm-3m (No. 221); the cell edges are 4.5639, 4.5639 and 4.5639 Å and the angles 90.00°, 90.00° and 90.00°. Symmetry generates all atoms from Fe at (0.0000, 0.0000, 0.0000), Ge at (0.0000, 0.0000, 0.5000) and Sb at (0.5000, 0.5000, 0.5000).

As for the total magnetization: 0.000 μB/atom. For the formation energy (no corrections), the calculation gives 0.345 eV per atom. The energy above the lowest structure with this stoichiometry is 0.000 eV/atom.


# 12
TePbI2N | meta-GGA SCAN | single point on PBEsol structure

The structure belongs to space group P4/mmm (No. 123); the cell edges are 5.0154, 5.0154 and 4.9296 Å and the angles 90.00°, 90.00° and 90.00°. Symmetry generates all atoms from Te at (0.0000, 0.0000, 0.0000), Pb at (0.5000, 0.5000, 0.0000), I at (0.0000, 0.5000, 0.5000) and N at (0.0000, 0.0000, 0.5000).

As for the total magnetization: 0.000 μB/atom. For the formation energy (no corrections), the calculation gives 0.652 eV per atom. The energy above the lowest structure with this stoichiometry is 0.000 eV/atom.


# 13
ScGa2 | meta-GGA SCAN | single point on PBEsol structure

The structure belongs to space group Cmmm (No. 65); the cell edges are 4.0462, 12.4724 and 4.0872 Å and the angles 90.00°, 90.00° and 90.00°. Symmetry generates all atoms from Sc at (0.0000, 0.1535, 0.0000), Ga at (0.0000, 0.0000, 0.5000), Ga at (0.0000, 0.3237, 0.5000) and Ga at (0.0000, 0.5000, 0.0000).

As for the total magnetization: 0.000 μB/atom. For the formation energy, the calculation gives -0.63 eV/atom.


# 14
TlZnMo2 | meta-GGA SCAN | single point on PBEsol structure

The structure belongs to space group P2/m (No. 10); the cell edges are 2.7878, 4.4753 and 5.4978 Å and the angles 90.00°, 102.63° and 90.00°. Symmetry generates all atoms from Tl at (0.0000, 0.0000, 0.0000), Zn at (0.5000, 0.0000, 0.5000) and Mo at (0.2214, 0.5000, 0.7193).

As for the total magnetization: 0.000 μB/atom. For the formation energy, the calculation gives 0.51 eV/atom. The energy above the lowest structure with this stoichiometry is 0.173 eV/atom.


# 15
LiCuNi | meta-GGA SCAN | single point on PBEsol structure

The structure belongs to space group P3m1 (No. 156); the cell edges are 3.9750, 3.9750 and 2.3849 Å and the angles 90.00°, 90.00° and 120.00°. Symmetry generates all atoms from Li at (0.0000, 0.0000, 0.0000), Cu at (0.6667, 0.3333, 0.7193) and Ni at (0.3333, 0.6667, 0.2987).

As for the total magnetization: 0.097 μB/atom. For the formation energy, the calculation gives 0.05 eV/atom. The energy above the lowest structure with this stoichiometry is 0.055 eV/atom.


# 16
Be2V2Os | meta-GGA SCAN | single point on PBEsol structure

The structure belongs to space group P4/mbm (No. 127); the cell edges are 6.0023, 6.0023 and 3.0064 Å and the angles 90.00°, 90.00° and 90.00°. Symmetry generates all atoms from Be at (0.1225, 0.3775, 0.0000), V at (0.1738, 0.6738, 0.5000) and Os at (0.0000, 0.0000, 0.0000).

As for the total magnetization: 0.000 μB/atom. For the formation energy, the calculation gives -0.41 eV/atom.


# 17
LaTlCo2 | meta-GGA SCAN | single point on PBEsol structure

The structure belongs to space group Fm-3m (No. 225); the cell edges are 6.5378, 6.5378 and 6.5378 Å and the angles 90.00°, 90.00° and 90.00°. Symmetry generates all atoms from La at (0.0000, 0.0000, 0.0000), Tl at (0.0000, 0.0000, 0.5000) and Co at (0.2500, 0.2500, 0.2500).

As for the total magnetization: 0.628 μB/atom. For the formation energy, the calculation gives 0.25 eV/atom. The energy above the lowest structure with this stoichiometry is 0.000 eV/atom.


# 18
CdHgRh2 | meta-GGA SCAN | single point on PBEsol structure

The structure belongs to space group Pmmm (No. 47); the cell edges are 2.9885, 4.5623 and 4.7751 Å and the angles 90.00°, 90.00° and 90.00°. Symmetry generates all atoms from Cd at (0.0000, 0.0000, 0.0000), Hg at (0.5000, 0.0000, 0.5000), Rh at (0.0000, 0.5000, 0.5000) and Rh at (0.5000, 0.5000, 0.0000).

As for the total magnetization: 0.000 μB/atom. For the formation energy, the calculation gives 0.18 eV/atom.


# 19
ReNi5 | meta-GGA SCAN | single point on PBEsol structure

The structure belongs to space group Cm (No. 8); the cell edges are 9.2091, 2.5544 and 5.8675 Å and the angles 90.00°, 105.27° and 90.00°. Symmetry generates all atoms from Re at (0.0000, 0.0000, 0.0000), Ni at (0.1159, 0.5000, 0.7257), Ni at (0.1692, 0.5000, 0.3375), Ni at (0.2797, 0.0000, 0.0664), Ni at (0.3348, 0.0000, 0.6632) and Ni at (0.4512, 0.5000, 0.3958).

As for the total magnetization: 0.000 μB/atom. For the formation energy, the calculation gives 0.10 eV/atom. The energy above the lowest structure with this stoichiometry is 0.054 eV/atom.


# 20
Ir8Ru | meta-GGA SCAN | single point on PBEsol structure

The structure belongs to space group I4/mmm (No. 139); the cell edges are 8.1065, 8.1065 and 3.8240 Å and the angles 90.00°, 90.00° and 90.00°. Symmetry generates all atoms from Ir at (0.0000, 0.3319, 0.0000), Ir at (0.1649, 0.1649, 0.5000) and Ru at (0.0000, 0.0000, 0.0000).

As for the total magnetization: 0.000 μB/atom. For the formation energy, the calculation gives -0.03 eV/atom.


# 21
MgHgPt2 | meta-GGA SCAN | single point on PBEsol structure

The structure belongs to space group F-43m (No. 216); the cell edges are 6.4289, 6.4289 and 6.4289 Å and the angles 90.00°, 90.00° and 90.00°. Symmetry generates all atoms from Mg at (0.0000, 0.0000, 0.0000), Hg at (0.2500, 0.2500, 0.7500), Pt at (0.0000, 0.0000, 0.5000) and Pt at (0.2500, 0.2500, 0.2500).

As for the total magnetization: 0.000 μB/atom. For the formation energy, the calculation gives -0.32 eV/atom.


# 22
Ca2TeSe | meta-GGA SCAN | single point on PBEsol structure

The structure belongs to space group R-3m (No. 166, hexagonal axes); the cell edges are 4.2961, 4.2961 and 21.1496 Å and the angles 90.00°, 90.00° and 120.00°. Symmetry generates all atoms from Ca at (0.0000, 0.0000, 0.2444), Te at (0.0000, 0.0000, 0.0000) and Se at (0.0000, 0.0000, 0.5000).

As for the total magnetization: 0.000 μB/atom. For the formation energy (no corrections), the calculation gives -2.037 eV per atom. The energy above the lowest structure with this stoichiometry is 0.000 eV/atom.


# 23
Ca2CuAu | meta-GGA SCAN | single point on PBEsol structure

The structure belongs to space group Amm2 (No. 38); the cell edges are 4.3478, 4.0396 and 10.7797 Å and the angles 90.00°, 90.00° and 90.00°. Symmetry generates all atoms from Ca at (0.0000, 0.0000, 0.0000), Ca at (0.5000, 0.0000, 0.2848), Cu at (0.0000, 0.0000, 0.7093) and Au at (0.5000, 0.0000, 0.5737).

As for the total magnetization: 0.000 μB/atom. For the formation energy, the calculation gives -0.58 eV/atom.


# 24
HfCrRu2Pb | meta-GGA SCAN | single point on PBEsol structure

The structure belongs to space group P4/mmm (No. 123); the cell edges are 4.4178, 4.4178 and 4.7507 Å and the angles 90.00°, 90.00° and 90.00°. Symmetry generates all atoms from Hf at (0.0000, 0.0000, 0.0000), Cr at (0.0000, 0.0000, 0.5000), Ru at (0.0000, 0.5000, 0.5000) and Pb at (0.5000, 0.5000, 0.0000).

As for the total magnetization: 0.000 μB/atom. For the formation energy, the calculation gives 0.75 eV/atom.


# 25
MgSi4Mo | meta-GGA SCAN | single point on PBEsol structure

The structure belongs to space group F-43m (No. 216); the cell edges are 6.9581, 6.9581 and 6.9581 Å and the angles 90.00°, 90.00° and 90.00°. Symmetry generates all atoms from Mg at (0.0000, 0.0000, 0.0000), Si at (0.1242, 0.1242, 0.3758) and Mo at (0.2500, 0.2500, 0.7500).

As for the total magnetization: 0.000 μB/atom. For the formation energy (no corrections), the calculation gives 0.394 eV per atom.


# 26
Li2Cr3CuO8 | meta-GGA SCAN | single point on PBEsol structure

The structure belongs to space group P4_132 (No. 213); the cell edges are 8.1645, 8.1645 and 8.1645 Å and the angles 90.00°, 90.00° and 90.00°. Symmetry generates all atoms from Li at (0.0007, 0.4993, 0.5007), Cr at (0.1240, 0.3740, 0.1250), Cu at (0.1250, 0.6250, 0.8750), O at (0.1035, 0.3753, 0.8922) and O at (0.1135, 0.8865, 0.3865).

As for the total magnetization: 0.357 μB/atom. For the formation energy (no corrections), the calculation gives -2.059 eV per atom. The energy above the lowest structure with this stoichiometry is 0.000 eV/atom.


| no. | DFT total energy (eV per atom) |
| --- | --- |
| 1 | -27.117 |
| 2 | -30.304 |
| 3 | -27.840 |
| 4 | -34.701 |
| 5 | -72.413 |
| 6 | -25.372 |
| 7 | -16.563 |
| 8 | -11.118 |
| 9 | -15.644 |
| 10 | -10.758 |
| 11 | -22.186 |
| 12 | -38.510 |
| 13 | -16.268 |
| 14 | -38.406 |
| 15 | -11.203 |
| 16 | -23.519 |
| 17 | -37.266 |
| 18 | -41.355 |
| 19 | -25.226 |
| 20 | -67.097 |
| 21 | -53.697 |
| 22 | -21.201 |
| 23 | -26.502 |
| 24 | -44.547 |
| 25 | -12.926 |
| 26 | -10.987 |